! GGA-PBE HfB2H2, optimized geometry; values from VASP
&SYSTEM
  ibrav = 0, nat = 5, ntyp = 3
/
ATOMIC_SPECIES
Hf 178.49 Hf.upf
B 10.81 B.upf
H 1.01 H.upf
CELL_PARAMETERS angstrom
-1.7243 1.7243 3.2361
1.7243 -1.7243 3.2361
1.7243 1.7243 -3.2361
ATOMIC_POSITIONS crystal
Hf 0.0000 0.0000 0.0000
B 0.3786 0.3786 0.0000
B 0.6214 0.6214 0.0000
H 0.2500 0.7500 0.5000
H 0.7500 0.2500 0.5000
! Energy relative to the lowest polymorph listed for this composition in meV per atom: 0
! Fermi-level density of states in states/eV/f.u.: 1.0
! Magnetic moment in μB per cell: 0.0
! Symmetry: I4/mmm (139)

=====

! GGA-PBE InBrF, optimized geometry; values from VASP
&SYSTEM
  ibrav = 0, nat = 3, ntyp = 3
/
ATOMIC_SPECIES
In 114.82 In.upf
Br 79.90 Br.upf
F 19.00 F.upf
CELL_PARAMETERS angstrom
3.4254 -2.1066 0.0000
3.4254 2.1066 0.0000
-2.2731 0.0000 4.9309
ATOMIC_POSITIONS crystal
In 0.0000 0.0000 0.0000
Br 0.8353 0.8353 0.4112
F 0.3190 0.3190 0.9308
! Energy relative to the elements, uncorrected in eV/atom: -1.28
! Fermi-level density of states in states/eV/f.u.: 1.4
! Magnetic moment in μB per cell: 0.0
! Symmetry: Cm (8)

=====

! GGA-PBE Er6GaCo2, optimized geometry; values from VASP
&SYSTEM
  ibrav = 0, nat = 18, ntyp = 3
/
ATOMIC_SPECIES
Er 167.26 Er.upf
Ga 69.72 Ga.upf
Co 58.93 Co.upf
CELL_PARAMETERS angstrom
-4.5781 4.7152 4.8791
4.5781 -4.7152 4.8791
4.5781 4.7152 -4.8791
ATOMIC_POSITIONS crystal
Er 0.0417 0.2392 0.8025
Er 0.1810 0.2802 0.4612
Er 0.1810 0.7198 0.9008
Er 0.3264 0.0149 0.6885
Er 0.3264 0.6379 0.3115
Er 0.4367 0.2392 0.1975
Er 0.5633 0.7608 0.8025
Er 0.6736 0.3621 0.6885
Er 0.6736 0.9851 0.3115
Er 0.8190 0.2802 0.0992
Er 0.8190 0.7198 0.5388
Er 0.9583 0.7608 0.1975
Ga 0.0000 0.0000 0.0000
Ga 0.5000 0.5000 0.0000
Co 0.1157 0.6157 0.5000
Co 0.3372 0.0000 0.3372
Co 0.6629 0.0000 0.6629
Co 0.8843 0.3843 0.5000
! Formation enthalpy at 0 K in eV/atom: -0.316
! Fermi-level density of states in states/eV/f.u.: 7.5
! Magnetic moment in μB per cell: 0.0
! Symmetry: Immm (71)